Entry 1:
This record from OQMD describes crystalline RbZr3Pb5 at its relaxed geometry. The functional is PBE-GGA.

## Properties
Crystal system   hexagonal
SG   P6/mmm

a b c (Å): 6.2013 6.2013 8.0322
angles (deg): 90.00 90.00 120.00
Last column: nearest neighbours and their distance in Å.
Fractional positions:
Pb 0.6667 0.3333 0.8112  1 Pb 3.03, 3 Zr 3.07
Zr 0.0000 0.5000 0.5000  6 Pb 3.07-3.10, 4 Zr 3.10
Pb 0.0000 0.0000 0.5000  6 Zr 3.10
Zr 0.5000 0.5000 0.5000  6 Pb 3.07-3.10, 4 Zr 3.10
Rb 0.0000 0.0000 0.0000  14 Pb 3.89-4.02
Pb 0.6667 0.3333 0.1888  1 Pb 3.03, 3 Zr 3.07
Zr 0.5000 0.0000 0.5000  6 Pb 3.07-3.10, 4 Zr 3.10
Pb 0.3333 0.6667 0.8112  1 Pb 3.03, 3 Zr 3.07
Pb 0.3333 0.6667 0.1888  1 Pb 3.03, 3 Zr 3.07

Entry 2:
This record from OQMD describes crystalline Re2Pb at its relaxed geometry. The functional is PBE-GGA.

## Properties
Crystal system   cubic
SG   Fd-3m

a b c (Å): 5.4139 5.4139 5.4139
angles (deg): 60.00 60.00 60.00
Last column: nearest neighbours and their distance in Å.
Fractional positions:
Re 0.6250 0.6250 0.1250  6 Re 2.71
Re 0.6250 0.1250 0.6250  6 Re 2.71
Re 0.6250 0.6250 0.6250  6 Re 2.71
Re 0.1250 0.6250 0.6250  6 Re 2.71
Pb 0.0000 0.0000 0.0000  12 Re 3.17, 4 Pb 3.32
Pb 0.2500 0.2500 0.2500  12 Re 3.17, 4 Pb 3.32

Entry 3:
This record from OQMD describes crystalline SmRePb at its relaxed geometry. The functional is PBE-GGA.

## Properties
Crystal system   cubic
SG   F-43m

a b c (Å): 4.9383 4.9383 4.9383
angles (deg): 60.00 60.00 60.00
Last column: nearest neighbours and their distance in Å.
Fractional positions:
Re 0.7500 0.7500 0.7500  4 Sm 3.02
Sm 0.0000 0.0000 0.0000  4 Pb 3.02, 4 Re 3.02
Pb 0.2500 0.2500 0.2500  4 Sm 3.02

Entry 4:
This record from OQMD describes crystalline SmRePb at its relaxed geometry. The functional is PBE-GGA.

## Properties
Crystal system   cubic
SG   F-43m

a b c (Å): 4.8132 4.8132 4.8132
angles (deg): 60.00 60.00 60.00
Last column: nearest neighbours and their distance in Å.
Fractional positions:
Re 0.2500 0.2500 0.2500  4 Pb 2.95
Pb 0.0000 0.0000 0.0000  4 Sm 2.95, 4 Re 2.95
Sm 0.7500 0.7500 0.7500  4 Pb 2.95

Number 1: final energy -5.075 eV/atom. Number 2: final energy -8.610 eV/atom. Number 3: final energy -5.630 eV/atom. Number 4: final energy -6.065 eV/atom.